[1]
## TaCuS2 (SCAN)

Data for a crystal of TaCuS2 relaxed with PBEsol.

raw total energy = -25.362 eV/atom
calculated volume = 13.98 Å³ per atom
E_form (uncorrected) = -103 meV per atom

a b c (Å): 6.0709 6.0709 6.0709
angles (deg): 90.00 90.00 90.00
Space group Fm-3m (No. 225)
Symmetry-distinct sites (fractional):
Ta 0.0000 0.0000 0.0000 x4
Cu 0.0000 0.0000 0.5000 x4
S 0.2500 0.2500 0.2500 x8

[2]
## Ta3Cu2S6 (SCAN)

Data for a crystal of Ta3Cu2S6 relaxed with PBEsol.

raw total energy = -27.166 eV/atom
calculated volume = 16.81 Å³ per atom
E_form (uncorrected) = -992 meV per atom

a b c (Å): 3.3205 17.2186 12.9359
angles (deg): 90.00 90.00 90.00
Space group Cmc2_1 (No. 36)
Symmetry-distinct sites (fractional):
Ta 0.0000 0.0568 0.9998 x4
Ta 0.0000 0.2778 0.4990 x4
Ta 0.0000 0.3911 0.0000 x4
Cu 0.0000 0.0543 0.2129 x4
Cu 0.0000 0.2788 0.2859 x4
S 0.0000 0.0541 0.3809 x4
S 0.0000 0.0575 0.6211 x4
S 0.0000 0.2786 0.1174 x4
S 0.0000 0.2819 0.8778 x4
S 0.0000 0.3846 0.6223 x4
S 0.0000 0.3915 0.3782 x4

> calculated volume of number 1 (TaCuS2)?

13.98 Å³ per atom

> The lowest calculated volume belongs to which entry?

TaCuS2